[1]
A plane-wave DFT calculation with PBE was carried out for crystalline RhAu at its relaxed geometry.

extended XYZ file:
```
4
Lattice="-1.426 2.390 4.778 1.426 -2.390 4.778 1.426 2.390 -4.778" Properties=species:S:1:pos:R:3 pbc="T T T"
Rh 0.000 1.195 1.305
Rh 1.426 1.195 3.474
Au 1.426 1.195 -1.130
Au 0.000 1.195 5.908
```

## Properties
energy of formation	0.2311	eV/atom
DOS(E_F)	2.972	states/eV/f.u.
E	-5.083	eV per atom
crystal system	orthorhombic

[2]
A plane-wave DFT calculation with PBE was carried out for crystalline Hf2SbH2 at its relaxed geometry.

extended XYZ file:
```
10
Lattice="6.910 0.000 0.000 0.000 6.910 0.000 0.000 0.000 3.077" Properties=species:S:1:pos:R:3 pbc="T T T"
Hf 0.998 2.457 0.000
Hf 2.457 5.912 0.000
Hf 4.453 0.998 0.000
Hf 5.912 4.453 0.000
Sb 0.000 0.000 1.538
Sb 3.455 3.455 1.538
H 0.641 4.096 1.538
H 2.814 0.641 1.538
H 4.096 6.269 1.538
H 6.269 2.814 1.538
```

## Properties
E above lowest polymorph	322	meV/atom
DOS(E_F)	2.698	states/eV/f.u.
E	-6.105	eV per atom
crystal system	tetragonal

[3]
A plane-wave DFT calculation with PBE was carried out for crystalline PmYGaOs at its relaxed geometry.

extended XYZ file:
```
4
Lattice="0.000 3.537 3.537 3.537 0.000 3.537 3.537 3.537 0.000" Properties=species:S:1:pos:R:3 pbc="T T T"
Pm 0.000 0.000 0.000
Y 3.537 3.537 3.537
Ga 1.768 1.768 1.768
Os 5.305 5.305 5.305
```

## Properties
energy of formation	-0.2784	eV/atom
DOS(E_F)	2.540	states/eV/f.u.
E	-6.646	eV per atom
crystal system	cubic

[4]
A plane-wave DFT calculation with PBE was carried out for crystalline PmTmZnCd at its relaxed geometry.

extended XYZ file:
```
4
Lattice="0.000 3.690 3.690 3.690 0.000 3.690 3.690 3.690 0.000" Properties=species:S:1:pos:R:3 pbc="T T T"
Pm 0.000 0.000 0.000
Tm 3.690 3.690 3.690
Zn 5.534 5.534 5.534
Cd 1.845 1.845 1.845
```

## Properties
E above lowest polymorph	27	meV/atom
energy of formation	-0.2992	eV/atom
DOS(E_F)	4.455	states/eV/f.u.
E	-3.152	eV per atom
crystal system	cubic

[5]
A plane-wave DFT calculation with PBE was carried out for crystalline ThSc3Hg2 at its relaxed geometry.

extended XYZ file:
```
6
Lattice="3.521 0.000 0.000 0.000 3.521 0.000 0.000 0.000 11.476" Properties=species:S:1:pos:R:3 pbc="T T T"
Th 0.000 0.000 0.000
Sc 1.760 1.760 2.230
Sc 1.760 1.760 5.738
Sc 1.760 1.760 9.246
Hg 0.000 0.000 3.967
Hg 0.000 0.000 7.509
```

## Properties
energy of formation	-0.3033	eV/atom
DOS(E_F)	4.140	states/eV/f.u.
E	-4.806	eV per atom
crystal system	tetragonal

[6]
A plane-wave DFT calculation with PBE was carried out for crystalline CsBaO3 at its relaxed geometry.

extended XYZ file:
```
5
Lattice="5.062 0.000 0.000 0.000 5.062 0.000 0.000 0.000 5.062" Properties=species:S:1:pos:R:3 pbc="T T T"
Cs 0.000 0.000 0.000
Ba 2.531 2.531 2.531
O 0.000 2.531 2.531
O 2.531 0.000 2.531
O 2.531 2.531 0.000
```

## Properties
DOS(E_F)	7.142	states/eV/f.u.
E	-4.435	eV per atom
crystal system	cubic

> Look up the E of the first one.

-5.083 eV per atom

Please write out number 6 again, unchanged.
A plane-wave DFT calculation with PBE was carried out for crystalline CsBaO3 at its relaxed geometry.

extended XYZ file:
```
5
Lattice="5.062 0.000 0.000 0.000 5.062 0.000 0.000 0.000 5.062" Properties=species:S:1:pos:R:3 pbc="T T T"
Cs 0.000 0.000 0.000
Ba 2.531 2.531 2.531
O 0.000 2.531 2.531
O 2.531 0.000 2.531
O 2.531 2.531 0.000
```

## Properties
DOS(E_F)	7.142	states/eV/f.u.
E	-4.435	eV per atom
crystal system	cubic